Entry 1:
Compound: CsTa3As
Source: the Alexandria database
Functional: PBE
Structure: relaxed

Output
The calculation puts the energy above the most stable polymorph in this dataset at 0 meV/atom. As for the space-group type: Pm-3m, No. 221. For the energy of formation, the calculation gives 1.539 eV per atom.

The structure in POSCAR format:
```
CsTa3As
1.0
4.972 0.000 0.000
0.000 4.972 0.000
0.000 0.000 4.972
Cs As Ta
1 1 3
Direct
0.500 0.500 0.500
0.000 0.000 0.000
0.000 0.500 0.000
0.000 0.000 0.500
0.500 0.000 0.000
```

Entry 2:
Compound: BaEuNi
Source: the Alexandria database
Functional: PBE
Structure: relaxed

Output
The calculation puts the energy above the most stable polymorph in this dataset at 39 meV/atom. As for the space-group type: I4mm, No. 107. For the energy of formation, the calculation gives 0.069 eV per atom.

The structure in POSCAR format:
```
BaEuNi
1.0
3.735 0.000 0.000
0.000 3.735 0.000
-1.868 -1.868 7.073
Eu Ni Ba
1 1 1
Direct
0.285 0.285 0.569
0.678 0.678 0.355
0.038 0.038 0.075
```

Entry 3:
Compound: YTcN2F
Source: the Alexandria database
Functional: PBE
Structure: relaxed

Output
The calculation puts the energy above the most stable polymorph in this dataset at 1160 meV/atom. As for the space-group type: P4/mmm, No. 123. The calculation puts the energy relative to the elements, uncorrected at 0.3457 eV per atom.

The structure in POSCAR format:
```
YTcN2F
1.0
4.477 0.000 0.000
0.000 4.477 0.000
0.000 0.000 4.180
Y N Tc F
1 2 1 1
Direct
0.000 0.000 0.000
0.000 0.500 0.000
0.500 0.000 0.000
0.500 0.500 0.500
0.000 0.000 0.500
```

Entry 4:
Compound: BeCu3
Source: the Alexandria database
Functional: PBE
Structure: relaxed

Output
As for the space-group type: I4/mmm, No. 139. For the energy of formation, the calculation gives -0.004 eV per atom.

The structure in POSCAR format:
```
BeCu3
1.0
3.553 0.000 0.000
0.000 3.553 0.000
-1.777 -1.777 3.495
Be Cu
1 3
Direct
0.000 0.000 0.000
0.750 0.250 0.500
0.250 0.750 0.500
0.500 0.500 0.000
```

Entry 5:
Compound: Sc2CoMo
Source: the Alexandria database
Functional: PBE
Structure: relaxed

Output
As for the space-group type: Immm, No. 71. For the energy of formation, the calculation gives 0.136 eV per atom.

The structure in POSCAR format:
```
Sc2CoMo
1.0
5.175 0.003 0.003
4.098 3.160 0.003
2.198 0.750 4.166
Co Mo Sc
1 1 2
Direct
0.750 0.750 0.750
0.250 0.250 0.250
0.029 0.029 0.971
0.471 0.471 0.529
```

Entry 6:
Compound: Ti2Re4Ni
Source: the Alexandria database
Functional: PBE
Structure: relaxed

Output
As for the space-group type: I4/mmm, No. 139. For the energy of formation, the calculation gives 1.277 eV per atom.

The structure in POSCAR format:
```
Ti2Re4Ni
1.0
4.398 0.000 0.000
0.000 4.398 0.000
2.199 2.199 6.328
Re Ti Ni
4 2 1
Direct
0.816 0.816 0.369
0.184 0.184 0.631
0.000 0.500 0.000
0.500 0.000 0.000
0.624 0.624 0.753
0.376 0.376 0.247
0.000 0.000 0.000
```

Entry 7:
Compound: BaCaTc
Source: the Alexandria database
Functional: PBE
Structure: relaxed

Output
The calculation puts the energy above the most stable polymorph in this dataset at 127 meV/atom. As for the space-group type: P3m1, No. 156. For the energy of formation, the calculation gives 0.866 eV per atom.

The structure in POSCAR format:
```
BaCaTc
1.0
3.685 0.000 0.000
-1.842 3.191 0.000
0.000 0.000 7.997
Ca Ba Tc
1 1 1
Direct
0.333 0.667 0.407
0.000 0.000 0.933
0.667 0.333 0.660
```

Entry 8:
Compound: Fe2NiSb
Source: the Alexandria database
Functional: PBE
Structure: relaxed

Output
As for the space-group type: I-42d, No. 122. The calculation puts the energy relative to the elements, uncorrected at 0.3488 eV per atom.

The structure in POSCAR format:
```
Fe2NiSb
1.0
3.622 0.000 0.000
0.000 3.622 0.000
1.811 1.811 9.151
Sb Fe Ni
2 4 2
Direct
0.000 0.000 0.000
0.750 0.250 0.500
0.618 0.125 0.250
0.132 0.625 0.250
0.375 0.382 0.750
0.875 0.868 0.750
0.500 0.500 0.000
0.250 0.750 0.500
```

Entry 9:
Compound: ErCdTc4
Source: the Alexandria database
Functional: PBE
Structure: relaxed

Output
As for the space-group type: F-43m, No. 216. For the energy of formation, the calculation gives 0.064 eV per atom.

The structure in POSCAR format:
```
ErCdTc4
1.0
-1.163 4.907 1.660
-3.028 0.698 4.304
2.148 1.865 4.483
Cd Tc Er
1 4 1
Direct
0.000 0.000 0.000
0.626 0.626 0.123
0.626 0.123 0.626
0.626 0.626 0.626
0.123 0.626 0.626
0.250 0.250 0.250
```

Entry 10:
Compound: GdYThZr
Source: the Alexandria database
Functional: PBE
Structure: relaxed

Output
As for the space-group type: F-43m, No. 216. For the energy of formation, the calculation gives 0.167 eV per atom.

The structure in POSCAR format:
```
GdYThZr
1.0
5.502 0.000 0.000
2.751 4.765 0.000
2.751 1.588 4.493
Y Gd Zr Th
1 1 1 1
Direct
0.000 0.000 0.000
0.750 0.750 0.750
0.500 0.500 0.500
0.250 0.250 0.250
```

Entry 11:
Compound: Tb2YTl3
Source: the Alexandria database
Functional: PBE
Structure: relaxed

Output
As for the space-group type: P4/mmm, No. 123. For the energy of formation, the calculation gives -0.365 eV per atom.

The structure in POSCAR format:
```
Tb2YTl3
1.0
-2.324 -0.288 2.842
2.414 -2.157 1.755
5.069 9.859 5.144
Tb Y Tl
2 1 3
Direct
0.500 0.500 0.833
0.500 0.500 0.167
0.500 0.500 0.500
0.000 0.000 0.000
0.000 0.000 0.666
0.000 0.000 0.334
```

Entry 12:
Compound: CePrNdIn
Source: the Alexandria database
Functional: PBE
Structure: relaxed

Output
As for the space-group type: F-43m, No. 216. For the energy of formation, the calculation gives -0.089 eV per atom.

The structure in POSCAR format:
```
CePrNdIn
1.0
5.547 0.000 0.000
2.773 4.804 0.000
2.773 1.601 4.529
Pr Nd Ce In
1 1 1 1
Direct
0.750 0.750 0.750
0.250 0.250 0.250
0.500 0.500 0.500
0.000 0.000 0.000
```

Entry 13:
Compound: Ba12Ga7O
Source: the Alexandria database
Functional: PBE
Structure: relaxed

Output
As for the space-group type: R-3, No. 148. The calculation puts the energy relative to the elements, uncorrected at -0.4410 eV per atom.

The structure in POSCAR format:
```
Ba12Ga7O
1.0
-4.425 8.944 -0.885
-7.113 -7.231 0.294
-6.095 1.513 7.970
Ba Ga O
12 7 1
Direct
0.605 0.296 0.188
0.207 0.812 0.483
0.187 0.171 0.101
0.712 0.899 0.272
0.691 0.483 0.704
0.984 0.272 0.829
0.016 0.728 0.171
0.309 0.517 0.296
0.288 0.101 0.728
0.813 0.829 0.899
0.793 0.188 0.517
0.395 0.704 0.812
0.994 0.389 0.112
0.894 0.888 0.502
0.395 0.502 0.611
0.500 0.000 0.000
0.605 0.498 0.389
0.106 0.112 0.498
0.006 0.611 0.888
0.000 0.000 0.000
```

Entry 14:
Compound: LiAcZn
Source: the Alexandria database
Functional: PBE
Structure: relaxed

Output
The calculation puts the energy above the most stable polymorph in this dataset at 75 meV/atom. As for the space-group type: I4mm, No. 107. For the energy of formation, the calculation gives -0.042 eV per atom.

The structure in POSCAR format:
```
LiAcZn
1.0
3.856 0.000 0.000
0.000 3.856 0.000
-1.928 -1.928 5.338
Ac Zn Li
1 1 1
Direct
0.957 0.957 0.913
0.642 0.642 0.283
0.252 0.252 0.504
```

Entry 15:
Compound: BaAc2Ag
Source: the Alexandria database
Functional: PBE
Structure: relaxed

Output
The calculation puts the energy above the most stable polymorph in this dataset at 200 meV/atom. As for the space-group type: R-3m, No. 166. For the energy of formation, the calculation gives 0.142 eV per atom.

The structure in POSCAR format:
```
BaAc2Ag
1.0
4.053 0.000 0.000
2.027 3.510 0.000
2.027 1.170 12.362
Ac Ba Ag
2 1 1
Direct
0.105 0.105 0.684
0.895 0.895 0.316
0.000 0.000 0.000
0.500 0.500 0.500
```

Entry 16:
Compound: Ce3DyHo3Te8
Source: the Alexandria database
Functional: PBE
Structure: relaxed

Output
As for the space-group type: R-3m, No. 166. The calculation puts the energy relative to the elements, uncorrected at -1.3716 eV per atom.

The structure in POSCAR format:
```
Ce3DyHo3Te8
1.0
-5.769 2.359 -6.157
5.606 -6.556 -1.530
-6.614 -1.145 5.758
Ce Dy Ho Te
3 1 3 8
Direct
0.000 0.000 0.000
0.000 0.500 0.000
0.500 0.500 0.000
0.000 0.000 0.500
0.500 0.000 0.500
0.500 0.500 0.500
0.000 0.500 0.500
0.254 0.508 0.262
0.746 0.492 0.738
0.748 0.495 0.256
0.252 0.505 0.744
0.748 0.009 0.256
0.252 0.991 0.744
0.261 0.009 0.256
0.739 0.991 0.744
```

Entry 17:
Compound: InSe
Source: the Alexandria database
Functional: PBE
Structure: relaxed

Output
As for the space-group type: P6_3/mmc, No. 194. The calculation puts the energy relative to the elements, uncorrected at 0.0525 eV per atom.

The structure in POSCAR format:
```
InSe
1.0
-2.011 2.001 -4.027
-0.434 -4.836 0.826
-9.063 1.734 5.388
In Se
4 4
Direct
0.667 0.333 0.092
0.333 0.667 0.592
0.333 0.667 0.908
0.667 0.333 0.408
0.000 0.000 0.250
0.000 0.000 0.750
0.667 0.333 0.750
0.333 0.667 0.250
```

Entry 18:
Compound: GdYAlNi
Source: the Alexandria database
Functional: PBE
Structure: relaxed

Output
As for the space-group type: F-43m, No. 216. For the energy of formation, the calculation gives -0.304 eV per atom.

The structure in POSCAR format:
```
GdYAlNi
1.0
-2.173 3.972 2.129
-4.953 0.622 -0.338
-2.878 -0.594 4.049
Y Ni Gd Al
1 1 1 1
Direct
0.750 0.750 0.750
0.000 0.000 0.000
0.250 0.250 0.250
0.500 0.500 0.500
```

Entry 19:
Compound: Tm8Cd2Pd
Source: the Alexandria database
Functional: PBE
Structure: relaxed

Output
As for the space-group type: C2/m, No. 12. For the energy of formation, the calculation gives -0.231 eV per atom.

The structure in POSCAR format:
```
Tm8Cd2Pd
1.0
5.250 0.000 0.000
0.000 6.877 0.037
-2.625 -2.910 8.195
Tm Cd Pd
8 2 1
Direct
0.408 0.566 0.816
0.654 0.953 0.309
0.803 0.711 0.606
0.978 0.221 0.956
0.197 0.289 0.394
0.346 0.047 0.691
0.592 0.434 0.184
0.022 0.779 0.044
0.816 0.292 0.631
0.184 0.708 0.369
0.500 0.000 0.000
```

Entry 20:
Compound: NaCa2ZrV
Source: the Alexandria database
Functional: PBE
Structure: relaxed

Output
As for the space-group type: P4/mmm, No. 123. For the energy of formation, the calculation gives 0.910 eV per atom.

The structure in POSCAR format:
```
NaCa2ZrV
1.0
6.115 0.000 0.000
0.000 4.621 0.000
0.000 0.000 6.115
Na Ca Zr V
1 2 1 1
Direct
0.500 0.500 0.500
0.000 0.000 0.500
0.500 0.000 0.000
0.000 0.000 0.000
0.000 0.500 0.000
```

Entry 21:
Compound: LaSeO
Source: the Alexandria database
Functional: PBE
Structure: relaxed

Output
As for the space-group type: Cm, No. 8. The calculation puts the energy relative to the elements, uncorrected at -2.1474 eV per atom.

The structure in POSCAR format:
```
LaSeO
1.0
-6.101 -0.340 0.387
-0.197 -0.830 -3.836
2.873 -6.008 1.152
La Se O
2 2 2
Direct
0.608 0.000 0.211
0.608 0.500 0.711
0.030 0.000 0.016
0.030 0.500 0.516
0.543 0.000 0.524
0.543 0.500 0.024
```

Entry 22:
Compound: MnTlRu
Source: the Alexandria database
Functional: PBE
Structure: relaxed

Output
As for the space-group type: P3m1, No. 156. For the energy of formation, the calculation gives 0.522 eV per atom.

The structure in POSCAR format:
```
MnTlRu
1.0
4.324 0.000 0.000
-2.162 3.745 0.000
0.000 0.000 3.224
Mn Ru Tl
1 1 1
Direct
0.000 0.000 0.168
0.667 0.333 0.166
0.333 0.667 0.666
```

Entry 23:
Compound: Er2In2Pd7
Source: the Alexandria database
Functional: PBE
Structure: relaxed

Output
As for the space-group type: Cmmm, No. 65. For the energy of formation, the calculation gives -0.324 eV per atom.

The structure in POSCAR format:
```
Er2In2Pd7
1.0
-5.120 1.147 2.451
-3.214 -1.035 -6.228
0.454 -5.729 0.719
Er In Pd
2 2 7
Direct
0.701 0.000 0.299
0.299 0.000 0.701
0.809 0.500 0.809
0.191 0.500 0.191
0.000 0.291 0.500
0.500 0.709 0.000
0.000 0.709 0.500
0.500 0.291 0.000
0.000 0.000 0.000
0.500 0.709 0.500
0.500 0.291 0.500
```

Entry 24:
Compound: LaNdSb
Source: the Alexandria database
Functional: PBE
Structure: relaxed

Output
As for the space-group type: F-43m, No. 216. The calculation puts the energy relative to the elements, uncorrected at -0.6868 eV per atom.

The structure in POSCAR format:
```
LaNdSb
1.0
-3.946 -2.648 2.351
-1.924 -4.413 -2.220
0.935 -4.716 2.234
Sb Nd La
1 1 1
Direct
0.250 0.250 0.250
0.500 0.500 0.500
0.000 0.000 0.000
```

Entry 25:
Compound: HfMnCrTc
Source: the Alexandria database
Functional: PBE
Structure: relaxed

Output
As for the space-group type: F-43m, No. 216. For the energy of formation, the calculation gives -0.039 eV per atom.

The structure in POSCAR format:
```
HfMnCrTc
1.0
-1.801 -3.252 2.237
-1.780 -3.354 -2.100
1.921 -3.889 0.101
Cr Mn Hf Tc
1 1 1 1
Direct
0.500 0.500 0.500
0.750 0.750 0.750
0.000 0.000 0.000
0.250 0.250 0.250
```